# K2CrIn

A geometry-optimized K2CrIn structure (PBE, Alexandria).

Cell and atoms, written as POSCAR:
```
K2CrIn
1.0
11.909 0.000 0.000
0.000 11.909 0.000
0.000 0.000 5.443
K Cr In
8 4 4
Direct
0.115 0.750 0.125 K
0.250 0.115 0.875 K
0.250 0.385 0.375 K
0.385 0.750 0.625 K
0.615 0.250 0.625 K
0.750 0.615 0.375 K
0.750 0.885 0.875 K
0.885 0.250 0.125 K
0.000 0.000 0.000 Cr
0.000 0.500 0.250 Cr
0.500 0.000 0.750 Cr
0.500 0.500 0.500 Cr
0.000 0.000 0.500 In
0.000 0.500 0.750 In
0.500 0.000 0.250 In
0.500 0.500 0.000 In
```

Computed properties:
M_tot: 4.6 μB per formula unit
Total DFT energy (no corrections): -3.027 eV/atom
D(E_F): 14.54 states/eV per cell
Space-group type: I-42d (122)

# Ac2HS6

A geometry-optimized Ac2HS6 structure (PBE, Alexandria).

Cell and atoms, written as POSCAR:
```
Ac2HS6
1.0
3.698 -2.915 0.000
3.698 2.915 0.000
-3.399 0.000 9.655
Ac H S
2 1 6
Direct
0.210 0.210 0.308 Ac
0.790 0.790 0.692 Ac
0.500 0.500 0.500 H
0.128 0.128 0.986 S
0.175 0.175 0.613 S
0.434 0.434 0.783 S
0.566 0.566 0.217 S
0.825 0.825 0.387 S
0.872 0.872 0.014 S
```

Computed properties:
M_tot: 0.0 μB per formula unit
Total DFT energy (no corrections): -5.036 eV/atom
D(E_F): 1.66 states/eV per cell
Space-group type: C2/m (12)